Li5ZnPd8: optimized geometry, PBE.

## Properties
Space-group type   I-4
V   201.4 Å³/cell
VASP energy   -56.351 eV/f.u.

abc: 6.396 6.396 6.396
angles: 109.67 109.67 109.08
Fractional coordinates of all 14 atoms:
Li  0.000  0.000  0.000
Li  0.284  0.183  0.647
Li  0.363  0.716  0.899
Li  0.536  0.637  0.353
Li  0.817  0.464  0.101
Zn  0.750  0.250  0.500
Pd  0.012  0.755  0.598
Pd  0.090  0.344  0.908
Pd  0.157  0.415  0.402
Pd  0.245  0.843  0.258
Pd  0.436  0.182  0.092
Pd  0.585  0.988  0.742
Pd  0.656  0.564  0.746
Pd  0.818  0.910  0.254


RbTePb: optimized geometry, PBE.

## Properties
Space-group type   Immm
E above lowest polymorph   14.4 kJ per mole of atoms
Energy relative to the elements, uncorrected   -0.377 eV/atom
V   316.3 Å³/cell
VASP energy   -8.949 eV/f.u.

abc: 9.769 9.769 9.769
angles: 146.81 141.45 51.76
Fractional coordinates of all 6 atoms:
Rb  0.150  0.150  0.000
Rb  0.850  0.850  0.000
Te  0.358  0.358  0.000
Te  0.642  0.642  0.000
Pb  0.229  0.500  0.729
Pb  0.771  0.500  0.271


CaGeAu4: optimized geometry, PBE.

## Properties
Space-group type   F-43m
E above lowest polymorph   5.6 kJ per mole of atoms
V   125.2 Å³/cell
VASP energy   -21.484 eV/f.u.

abc: 5.615 5.615 5.615
angles: 60.00 60.00 60.00
Fractional coordinates of all 6 atoms:
Ca  0.000  0.000  0.000
Ge  0.250  0.250  0.250
Au  0.125  0.625  0.625
Au  0.625  0.125  0.625
Au  0.625  0.625  0.125
Au  0.625  0.625  0.625


K2BaCa: optimized geometry, PBE.

## Properties
Space-group type   Immm
E above lowest polymorph   4.4 kJ per mole of atoms
V   243.1 Å³/cell
VASP energy   -5.594 eV/f.u.

abc: 8.603 8.603 8.603
angles: 149.17 131.35 58.72
Fractional coordinates of all 4 atoms:
K  0.236  0.236  0.000
K  0.764  0.764  0.000
Ba  0.500  0.000  0.500
Ca  0.000  0.500  0.500


Ag2PtAu: optimized geometry, PBE.

## Properties
Space-group type   C2/c
E above lowest polymorph   13.6 kJ per mole of atoms
V   146.9 Å³/cell
VASP energy   -14.535 eV/f.u.

abc: 7.068 7.068 4.675
angles: 98.74 98.74 136.43
Fractional coordinates of all 8 atoms:
Ag  0.137  0.277  0.118
Ag  0.277  0.137  0.618
Ag  0.723  0.863  0.382
Ag  0.863  0.723  0.882
Pt  0.241  0.759  0.250
Pt  0.759  0.241  0.750
Au  0.355  0.645  0.750
Au  0.645  0.355  0.250


Pb2Au2F: optimized geometry, PBE.

## Properties
Space-group type   P4/mbm
E above lowest polymorph   0.0 kJ per mole of atoms
Energy relative to the elements, uncorrected   -0.560 eV/atom
V   237.7 Å³/cell
VASP energy   -18.641 eV/f.u.

abc: 7.411 7.411 4.329
angles: 90.00 90.00 90.00
Fractional coordinates of all 10 atoms:
Pb  0.184  0.316  0.000
Pb  0.316  0.816  0.000
Pb  0.684  0.184  0.000
Pb  0.816  0.684  0.000
Au  0.132  0.632  0.500
Au  0.368  0.132  0.500
Au  0.632  0.868  0.500
Au  0.868  0.368  0.500
F  0.000  0.000  0.000
F  0.500  0.500  0.000


PrScGaAg: optimized geometry, PBE.

## Properties
Space-group type   F-43m
V   93.4 Å³/cell
VASP energy   -18.531 eV/f.u.

abc: 5.093 5.093 5.093
angles: 60.00 60.00 60.00
Fractional coordinates of all 4 atoms:
Pr  0.000  0.000  0.000
Sc  0.500  0.500  0.500
Ga  0.750  0.750  0.750
Ag  0.250  0.250  0.250


Tm7Sc2Cd2: optimized geometry, PBE.

## Properties
Space-group type   C2/m
V   305.6 Å³/cell
VASP energy   -46.310 eV/f.u.

abc: 6.315 6.315 8.207
angles: 102.73 102.73 97.73
Fractional coordinates of all 11 atoms:
Tm  0.000  0.000  0.000
Tm  0.122  0.483  0.821
Tm  0.146  0.146  0.421
Tm  0.483  0.122  0.821
Tm  0.517  0.878  0.179
Tm  0.854  0.854  0.579
Tm  0.878  0.517  0.179
Sc  0.316  0.684  0.500
Sc  0.684  0.316  0.500
Cd  0.385  0.385  0.183
Cd  0.615  0.615  0.817


RbTb2Pm3Te6: optimized geometry, PBE.

## Properties
Space-group type   C2/m
Energy relative to the elements, uncorrected   -1.323 eV/atom
V   392.1 Å³/cell
VASP energy   -59.204 eV/f.u.

abc: 10.094 10.094 9.203
angles: 103.22 103.22 25.48
Fractional coordinates of all 12 atoms:
Rb  0.000  0.000  0.000
Tb  0.332  0.332  0.658
Tb  0.668  0.668  0.342
Pm  0.000  0.000  0.500
Pm  0.342  0.342  0.185
Pm  0.658  0.658  0.815
Te  0.168  0.168  0.578
Te  0.177  0.177  0.092
Te  0.493  0.493  0.731
Te  0.507  0.507  0.269
Te  0.823  0.823  0.908
Te  0.832  0.832  0.422


KNaCu2I4: optimized geometry, PBE.

## Properties
Space-group type   I222
Energy relative to the elements, uncorrected   -0.706 eV/atom
V   312.6 Å³/cell
VASP energy   -22.460 eV/f.u.

abc: 7.442 7.442 7.442
angles: 116.77 108.83 103.11
Fractional coordinates of all 8 atoms:
K  0.000  0.000  0.000
Na  0.500  0.500  0.000
Cu  0.361  0.861  0.500
Cu  0.639  0.139  0.500
I  0.134  0.053  0.547
I  0.495  0.947  0.081
I  0.505  0.587  0.453
I  0.866  0.413  0.919


Ti3AlSb: optimized geometry, PBE.

## Properties
Space-group type   C2/m
E above lowest polymorph   0.0 kJ per mole of atoms
Energy relative to the elements, uncorrected   -0.104 eV/atom
V   187.2 Å³/cell
VASP energy   -32.069 eV/f.u.

abc: 7.437 7.437 5.141
angles: 98.07 98.07 41.77
Fractional coordinates of all 10 atoms:
Ti  0.000  0.000  0.000
Ti  0.000  0.000  0.500
Ti  0.096  0.595  0.655
Ti  0.405  0.904  0.345
Ti  0.595  0.096  0.655
Ti  0.904  0.405  0.345
Al  0.463  0.463  0.235
Al  0.537  0.537  0.765
Sb  0.188  0.188  0.854
Sb  0.812  0.812  0.146


SmTmGa2: optimized geometry, PBE.

## Properties
Space-group type   R-3m
V   101.4 Å³/cell
VASP energy   -16.852 eV/f.u.

abc: 8.991 8.991 8.991
angles: 23.49 23.49 23.49
Fractional coordinates of all 4 atoms:
Sm  0.000  0.000  0.000
Tm  0.500  0.500  0.500
Ga  0.248  0.248  0.248
Ga  0.752  0.752  0.752


Repeat the seventh record exactly.
PrScGaAg: optimized geometry, PBE.

## Properties
Space-group type   F-43m
V   93.4 Å³/cell
VASP energy   -18.531 eV/f.u.

abc: 5.093 5.093 5.093
angles: 60.00 60.00 60.00
Fractional coordinates of all 4 atoms:
Pr  0.000  0.000  0.000
Sc  0.500  0.500  0.500
Ga  0.750  0.750  0.750
Ag  0.250  0.250  0.250


Which of these has the highest V?
RbTb2Pm3Te6


What did the third record say?
CaGeAu4: optimized geometry, PBE.

## Properties
Space-group type   F-43m
E above lowest polymorph   5.6 kJ per mole of atoms
V   125.2 Å³/cell
VASP energy   -21.484 eV/f.u.

abc: 5.615 5.615 5.615
angles: 60.00 60.00 60.00
Fractional coordinates of all 6 atoms:
Ca  0.000  0.000  0.000
Ge  0.250  0.250  0.250
Au  0.125  0.625  0.625
Au  0.625  0.125  0.625
Au  0.625  0.625  0.125
Au  0.625  0.625  0.625


Look up the VASP energy of the tenth one.
-22.460 eV/f.u.